# InSi2CCl, relaxed, DFT PBEsol
# Total magnetization, μB per formula unit: 0.00
# Total DFT energy (no corrections), eV/cell: -17.7
data_InSi2CCl
_cell_length_a 4.680
_cell_length_b 4.680
_cell_length_c 4.117
_cell_angle_alpha 90.00
_cell_angle_beta 90.00
_cell_angle_gamma 90.00
_symmetry_space_group_name_H-M 'P 4/m m m'
_symmetry_Int_Tables_number 123
_symmetry_space_group_name_Hall '-P 4 2'
loop_
_atom_site_label
_atom_site_type_symbol
_atom_site_fract_x
_atom_site_fract_y
_atom_site_fract_z
In1 In 0.000 0.000 0.000
Si1 Si 0.000 0.500 0.500
C1 C 0.500 0.500 0.000
Cl1 Cl 0.500 0.500 0.500

# NaSbIr3, relaxed, DFT PBEsol
# Total magnetization, μB per formula unit: 0.01
# Total DFT energy (no corrections), eV/cell: -27.9
data_NaSbIr3
_cell_length_a 4.849
_cell_length_b 4.849
_cell_length_c 4.849
_cell_angle_alpha 90.00
_cell_angle_beta 90.00
_cell_angle_gamma 90.00
_symmetry_space_group_name_H-M 'P m -3 m'
_symmetry_Int_Tables_number 221
_symmetry_space_group_name_Hall '-P 4 2 3'
loop_
_atom_site_label
_atom_site_type_symbol
_atom_site_fract_x
_atom_site_fract_y
_atom_site_fract_z
Na1 Na 0.000 0.000 0.000
Sb1 Sb 0.500 0.500 0.500
Ir1 Ir 0.000 0.500 0.500

# CaSb2H2, relaxed, DFT PBEsol
# Total magnetization, μB per formula unit: 0.00
# Relative energy among the computed polymorphs, meV/atom: 470
# Total DFT energy (no corrections), eV/cell: -34.3
data_CaSb2H2
_cell_length_a 4.240
_cell_length_b 4.240
_cell_length_c 9.917
_cell_angle_alpha 90.00
_cell_angle_beta 90.00
_cell_angle_gamma 90.00
_symmetry_space_group_name_H-M 'I 4/m m m'
_symmetry_Int_Tables_number 139
_symmetry_space_group_name_Hall '-I 4 2'
loop_
_atom_site_label
_atom_site_type_symbol
_atom_site_fract_x
_atom_site_fract_y
_atom_site_fract_z
Ca1 Ca 0.000 0.000 0.000
Sb1 Sb 0.000 0.000 0.354
H1 H 0.000 0.500 0.250